Mg2BeP | Alexandria | PBE | optimized geometry; formation energy from the elements = 0.43 eV per atom; E = -10.6 eV/cell
1.0
-4.2847 1.4822 0.5965
-3.0048 -0.2484 -3.4381
-3.4499 -2.9955 0.1905
Be Mg P
1 2 1
Direct
0.5000 0.5000 0.5000
0.2500 0.2500 0.2500
0.0000 0.0000 0.0000
0.7500 0.7500 0.7500